{"formula": "CrPbBr", "functional": "PBE-GGA", "state": "relaxed", "cell": [[0.0000, 3.4511, 3.4511], [3.4511, 0.0000, 3.4511], [3.4511, 3.4511, 0.0000]], "species": ["Cr", "Pb", "Br"], "frac_coords": [[0.0000, 0.0000, 0.0000], [0.2500, 0.2500, 0.2500], [0.7500, 0.7500, 0.7500]], "e_above_lowest_polymorph_mev_per_atom": 359, "raw_formation_energy_ev_per_atom": 0.452, "energy_ev_per_atom": -4.550, "total_magnetization_mub_per_atom": 1.382}



{"formula": "CrPb3Br", "functional": "PBE-GGA", "state": "relaxed", "cell": [[5.6969, 0.0000, 0.0000], [0.0000, 5.6969, 0.0000], [0.0000, 0.0000, 5.6969]], "species": ["Cr", "Pb", "Pb", "Pb", "Br"], "frac_coords": [[0.0000, 0.0000, 0.0000], [0.0000, 0.5000, 0.5000], [0.5000, 0.0000, 0.5000], [0.5000, 0.5000, 0.0000], [0.5000, 0.5000, 0.5000]], "e_above_lowest_polymorph_mev_per_atom": 762, "raw_formation_energy_ev_per_atom": 0.851, "energy_ev_per_atom": -3.633, "total_magnetization_mub_per_atom": 1.006}



{"formula": "Cr2PbBr", "functional": "PBE-GGA", "state": "relaxed", "cell": [[0.0000, 3.4959, 3.4959], [3.4959, 0.0000, 3.4959], [3.4959, 3.4959, 0.0000]], "species": ["Cr", "Cr", "Pb", "Br"], "frac_coords": [[0.2500, 0.2500, 0.2500], [0.7500, 0.7500, 0.7500], [0.0000, 0.0000, 0.0000], [0.5000, 0.5000, 0.5000]], "e_above_lowest_polymorph_mev_per_atom": 390, "raw_formation_energy_ev_per_atom": 0.662, "energy_ev_per_atom": -5.495, "total_magnetization_mub_per_atom": 1.902}



{"formula": "CrPb2Br", "functional": "PBE-GGA", "state": "relaxed", "cell": [[3.5717, 0.0000, 0.0000], [0.0000, 3.5915, 0.0000], [-1.7412, 0.0000, 8.4907]], "species": ["Cr", "Pb", "Pb", "Br"], "frac_coords": [[0.0000, 0.0000, 0.0000], [0.3854, 0.5000, 0.7876], [0.6146, 0.5000, 0.2124], [0.5000, 0.0000, 0.5000]], "e_above_lowest_polymorph_mev_per_atom": 147, "raw_formation_energy_ev_per_atom": 0.186, "energy_ev_per_atom": -4.492, "total_magnetization_mub_per_atom": 1.014}



{"formula": "CrPb2Br", "functional": "PBE-GGA", "state": "relaxed", "cell": [[1.8620, 1.0750, 9.1497], [-1.8620, 1.0750, 9.1497], [0.0000, -2.1500, 9.1497]], "species": ["Cr", "Pb", "Pb", "Br"], "frac_coords": [[0.0000, 0.0000, 0.0000], [0.2563, 0.2563, 0.2563], [0.7437, 0.7437, 0.7437], [0.5000, 0.5000, 0.5000]], "e_above_lowest_polymorph_mev_per_atom": 206, "raw_formation_energy_ev_per_atom": 0.246, "energy_ev_per_atom": -4.433, "total_magnetization_mub_per_atom": 1.089}



{"formula": "Cr2PbBr", "functional": "PBE-GGA", "state": "relaxed", "cell": [[3.5732, 0.0000, 0.0000], [0.0000, 4.2955, 0.0000], [0.0000, 0.0000, 6.2047]], "species": ["Cr", "Cr", "Pb", "Br"], "frac_coords": [[0.0000, 0.0000, 0.0000], [0.5000, 0.0000, 0.5000], [0.0000, 0.5000, 0.5000], [0.5000, 0.5000, 0.0000]], "e_above_lowest_polymorph_mev_per_atom": 356, "raw_formation_energy_ev_per_atom": 0.628, "energy_ev_per_atom": -5.529, "total_magnetization_mub_per_atom": 2.096}



{"formula": "Cr2PbBr", "functional": "PBE-GGA", "state": "relaxed", "cell": [[0.0000, 3.6554, 3.6554], [3.6554, 0.0000, 3.6554], [3.6554, 3.6554, 0.0000]], "species": ["Cr", "Cr", "Pb", "Br"], "frac_coords": [[0.0000, 0.0000, 0.0000], [0.2500, 0.2500, 0.2500], [0.5000, 0.5000, 0.5000], [0.7500, 0.7500, 0.7500]], "e_above_lowest_polymorph_mev_per_atom": 653, "raw_formation_energy_ev_per_atom": 0.925, "energy_ev_per_atom": -5.232, "total_magnetization_mub_per_atom": 2.232}



{"formula": "CrPbBr", "functional": "PBE-GGA", "state": "relaxed", "cell": [[-1.7379, 1.7379, 6.6151], [1.7379, -1.7379, 6.6151], [1.7379, 1.7379, -6.6151]], "species": ["Cr", "Pb", "Br"], "frac_coords": [[0.0000, 0.0000, 0.0000], [0.6475, 0.6475, 0.0000], [0.3889, 0.3889, 0.0000]], "e_above_lowest_polymorph_mev_per_atom": 50, "raw_formation_energy_ev_per_atom": 0.143, "energy_ev_per_atom": -4.859, "total_magnetization_mub_per_atom": 1.526}



{"formula": "Cr2PbBr", "functional": "PBE-GGA", "state": "relaxed", "cell": [[3.1511, -1.8169, 0.0000], [3.1511, 1.8169, 0.0000], [-2.1194, 0.0000, 8.0389]], "species": ["Cr", "Cr", "Pb", "Br"], "frac_coords": [[0.2473, 0.2473, 0.2429], [0.7527, 0.7527, 0.7571], [0.0000, 0.0000, 0.5000], [0.5000, 0.5000, 0.0000]], "e_above_lowest_polymorph_mev_per_atom": 149, "raw_formation_energy_ev_per_atom": 0.421, "energy_ev_per_atom": -5.736, "total_magnetization_mub_per_atom": 2.211}



{"formula": "CrPb2Br", "functional": "PBE-GGA", "state": "relaxed", "cell": [[0.0000, 3.7815, 3.7815], [3.7815, 0.0000, 3.7815], [3.7815, 3.7815, 0.0000]], "species": ["Cr", "Pb", "Pb", "Br"], "frac_coords": [[0.0000, 0.0000, 0.0000], [0.5000, 0.5000, 0.5000], [0.7500, 0.7500, 0.7500], [0.2500, 0.2500, 0.2500]], "e_above_lowest_polymorph_mev_per_atom": 321, "raw_formation_energy_ev_per_atom": 0.361, "energy_ev_per_atom": -4.318, "total_magnetization_mub_per_atom": 1.060}



{"formula": "Cr2PbBr", "functional": "PBE-GGA", "state": "relaxed", "cell": [[-1.6928, 2.3757, 5.8254], [1.6928, -2.3757, 5.8254], [1.6928, 2.3757, -5.8254]], "species": ["Cr", "Cr", "Pb", "Br"], "frac_coords": [[0.0000, 0.0000, 0.0000], [0.8318, 0.3318, 0.5000], [0.3541, 0.8541, 0.5000], [0.6290, 0.6290, 0.0000]], "e_above_lowest_polymorph_mev_per_atom": 160, "raw_formation_energy_ev_per_atom": 0.432, "energy_ev_per_atom": -5.725, "total_magnetization_mub_per_atom": 0.107}



{"formula": "CrPb3Br", "functional": "PBE-GGA", "state": "relaxed", "cell": [[5.2455, 0.0000, 0.0000], [0.0000, 5.2455, 0.0000], [0.0000, 0.0000, 5.2455]], "species": ["Cr", "Pb", "Pb", "Pb", "Br"], "frac_coords": [[0.0000, 0.0000, 0.0000], [0.0000, 0.0000, 0.5000], [0.0000, 0.5000, 0.0000], [0.5000, 0.0000, 0.0000], [0.5000, 0.5000, 0.5000]], "e_above_lowest_polymorph_mev_per_atom": 0, "raw_formation_energy_ev_per_atom": 0.089, "energy_ev_per_atom": -4.395, "total_magnetization_mub_per_atom": 0.200}



{"formula": "CrPb2Br", "functional": "PBE-GGA", "state": "relaxed", "cell": [[-2.3524, 2.3524, 4.8854], [2.3524, -2.3524, 4.8854], [2.3524, 2.3524, -4.8854]], "species": ["Cr", "Pb", "Pb", "Br"], "frac_coords": [[0.0000, 0.0000, 0.0000], [0.2500, 0.7500, 0.5000], [0.7500, 0.2500, 0.5000], [0.5000, 0.5000, 0.0000]], "e_above_lowest_polymorph_mev_per_atom": 307, "raw_formation_energy_ev_per_atom": 0.346, "energy_ev_per_atom": -4.332, "total_magnetization_mub_per_atom": 1.119}



{"formula": "Cr2PbBr", "functional": "PBE-GGA", "state": "relaxed", "cell": [[-1.9785, 1.9785, 5.9422], [1.9785, -1.9785, 5.9422], [1.9785, 1.9785, -5.9422]], "species": ["Cr", "Cr", "Pb", "Br"], "frac_coords": [[0.0000, 0.0000, 0.0000], [0.7500, 0.2500, 0.5000], [0.2500, 0.7500, 0.5000], [0.5000, 0.5000, 0.0000]], "e_above_lowest_polymorph_mev_per_atom": 355, "raw_formation_energy_ev_per_atom": 0.627, "energy_ev_per_atom": -5.530, "total_magnetization_mub_per_atom": 2.068}



{"formula": "Cr2PbBr", "functional": "PBE-GGA", "state": "relaxed", "cell": [[5.1008, 0.0000, 0.0000], [0.0000, 5.1008, 0.0000], [0.0000, 0.0000, 3.3490]], "species": ["Cr", "Cr", "Pb", "Br"], "frac_coords": [[0.0000, 0.5000, 0.0000], [0.5000, 0.0000, 0.0000], [0.0000, 0.0000, 0.5000], [0.5000, 0.5000, 0.5000]], "e_above_lowest_polymorph_mev_per_atom": 315, "raw_formation_energy_ev_per_atom": 0.587, "energy_ev_per_atom": -5.570, "total_magnetization_mub_per_atom": 2.011}



{"formula": "CrPb2Br", "functional": "PBE-GGA", "state": "relaxed", "cell": [[3.4851, 0.0000, 0.0000], [0.0000, 3.4851, 0.0000], [0.0000, 0.0000, 8.9896]], "species": ["Cr", "Pb", "Pb", "Br"], "frac_coords": [[0.0000, 0.0000, 0.0000], [0.0000, 0.0000, 0.4985], [0.5000, 0.5000, 0.2256], [0.5000, 0.5000, 0.8347]], "e_above_lowest_polymorph_mev_per_atom": 64, "raw_formation_energy_ev_per_atom": 0.103, "energy_ev_per_atom": -4.575, "total_magnetization_mub_per_atom": 1.149}



{"formula": "Cr2PbBr", "functional": "PBE-GGA", "state": "relaxed", "cell": [[3.4393, 0.0000, 0.0000], [0.0000, 3.7115, 0.0000], [0.0000, 0.0000, 7.7256]], "species": ["Cr", "Cr", "Pb", "Br"], "frac_coords": [[0.0000, 0.0000, 0.0000], [0.5000, 0.5000, 0.0219], [0.5000, 0.0000, 0.3194], [0.0000, 0.5000, 0.7559]], "e_above_lowest_polymorph_mev_per_atom": 0, "raw_formation_energy_ev_per_atom": 0.272, "energy_ev_per_atom": -5.885, "total_magnetization_mub_per_atom": 0.008}



{"formula": "Cr4PbBr", "functional": "PBE-GGA", "state": "relaxed", "cell": [[0.0000, 3.5975, 3.5975], [3.5975, 0.0000, 3.5975], [3.5975, 3.5975, 0.0000]], "species": ["Cr", "Cr", "Cr", "Cr", "Pb", "Br"], "frac_coords": [[0.1191, 0.1191, 0.1191], [0.1191, 0.1191, 0.6427], [0.1191, 0.6427, 0.1191], [0.6427, 0.1191, 0.1191], [0.5000, 0.5000, 0.5000], [0.7500, 0.7500, 0.7500]], "raw_formation_energy_ev_per_atom": 0.954, "energy_ev_per_atom": -6.358, "total_magnetization_mub_per_atom": 0.000}



{"formula": "Cr2PbBr", "functional": "PBE-GGA", "state": "relaxed", "cell": [[2.0968, -2.7478, 0.0000], [2.0968, 2.7478, 0.0000], [0.0000, 0.0000, 7.9094]], "species": ["Cr", "Cr", "Pb", "Br"], "frac_coords": [[0.0000, 0.0000, 0.2456], [0.0000, 0.0000, 0.7544], [0.5000, 0.5000, 0.5000], [0.5000, 0.5000, 0.0000]], "e_above_lowest_polymorph_mev_per_atom": 219, "raw_formation_energy_ev_per_atom": 0.491, "energy_ev_per_atom": -5.666, "total_magnetization_mub_per_atom": 2.191}



{"formula": "CrPb2Br", "functional": "PBE-GGA", "state": "relaxed", "cell": [[0.0000, 3.7799, 3.7799], [3.7799, 0.0000, 3.7799], [3.7799, 3.7799, 0.0000]], "species": ["Cr", "Pb", "Pb", "Br"], "frac_coords": [[0.0000, 0.0000, 0.0000], [0.2500, 0.2500, 0.2500], [0.7500, 0.7500, 0.7500], [0.5000, 0.5000, 0.5000]], "e_above_lowest_polymorph_mev_per_atom": 386, "raw_formation_energy_ev_per_atom": 0.426, "energy_ev_per_atom": -4.253, "total_magnetization_mub_per_atom": 1.048}



{"formula": "CrPb2Br", "functional": "PBE-GGA", "state": "relaxed", "cell": [[3.9156, 0.0000, 0.0000], [0.0000, 3.5409, 0.0000], [-1.9457, 0.0000, 8.2215]], "species": ["Cr", "Pb", "Pb", "Br"], "frac_coords": [[0.0000, 0.0000, 0.0000], [0.4072, 0.5000, 0.8133], [0.7809, 0.0000, 0.5589], [0.1134, 0.5000, 0.2282]], "e_above_lowest_polymorph_mev_per_atom": 19, "raw_formation_energy_ev_per_atom": 0.059, "energy_ev_per_atom": -4.619, "total_magnetization_mub_per_atom": 1.039}



{"formula": "CrPb2Br", "functional": "PBE-GGA", "state": "relaxed", "cell": [[-2.2168, 2.2168, 11.8120], [2.2168, -2.2168, 11.8120], [2.2168, 2.2168, -11.8120]], "species": ["Cr", "Cr", "Pb", "Pb", "Pb", "Pb", "Br", "Br"], "frac_coords": [[0.0000, 0.0000, 0.0000], [0.7500, 0.2500, 0.5000], [0.1202, 0.6250, 0.9952], [0.3750, 0.3702, 0.4952], [0.6298, 0.1250, 0.0048], [0.8750, 0.8798, 0.5048], [0.2500, 0.7500, 0.5000], [0.5000, 0.5000, 0.0000]], "e_above_lowest_polymorph_mev_per_atom": 346, "raw_formation_energy_ev_per_atom": 0.385, "energy_ev_per_atom": -4.293, "total_magnetization_mub_per_atom": 1.166}



{"formula": "CrPb2Br", "functional": "PBE-GGA", "state": "relaxed", "cell": [[1.8456, 1.0656, 9.5697], [-1.8456, 1.0656, 9.5697], [0.0000, -2.1311, 9.5697]], "species": ["Cr", "Pb", "Pb", "Br"], "frac_coords": [[0.0000, 0.0000, 0.0000], [0.4972, 0.4972, 0.4972], [0.7394, 0.7394, 0.7394], [0.2781, 0.2781, 0.2781]], "e_above_lowest_polymorph_mev_per_atom": 0, "raw_formation_energy_ev_per_atom": 0.039, "energy_ev_per_atom": -4.639, "total_magnetization_mub_per_atom": 1.110}



{"formula": "CrPb2Br", "functional": "PBE-GGA", "state": "relaxed", "cell": [[-1.6815, 2.2370, 7.4495], [1.6815, -2.2370, 7.4495], [1.6815, 2.2370, -7.4495]], "species": ["Cr", "Pb", "Pb", "Br"], "frac_coords": [[0.0000, 0.0000, 0.0000], [0.1888, 0.6888, 0.5000], [0.8112, 0.3112, 0.5000], [0.5000, 0.5000, 0.0000]], "e_above_lowest_polymorph_mev_per_atom": 109, "raw_formation_energy_ev_per_atom": 0.148, "energy_ev_per_atom": -4.530, "total_magnetization_mub_per_atom": 1.096}



{"formula": "CrPbBr", "functional": "PBE-GGA", "state": "relaxed", "cell": [[3.5479, 0.0000, 0.0000], [-1.7740, 3.0726, 0.0000], [0.0000, 0.0000, 7.7081]], "species": ["Cr", "Pb", "Br"], "frac_coords": [[0.0000, 0.0000, 0.0000], [0.3333, 0.6667, 0.3003], [0.6667, 0.3333, 0.7942]], "e_above_lowest_polymorph_mev_per_atom": 0, "raw_formation_energy_ev_per_atom": 0.093, "energy_ev_per_atom": -4.909, "total_magnetization_mub_per_atom": 1.312}



{"formula": "Cr2PbBr", "functional": "PBE-GGA", "state": "relaxed", "cell": [[3.4130, 0.0000, 0.0000], [0.0000, 3.4130, 0.0000], [0.0000, 0.0000, 7.6230]], "species": ["Cr", "Cr", "Pb", "Br"], "frac_coords": [[0.0000, 0.0000, 0.2473], [0.0000, 0.0000, 0.7527], [0.5000, 0.5000, 0.5000], [0.5000, 0.5000, 0.0000]], "e_above_lowest_polymorph_mev_per_atom": 230, "raw_formation_energy_ev_per_atom": 0.502, "energy_ev_per_atom": -5.655, "total_magnetization_mub_per_atom": 2.184}



{"formula": "Cr2PbBr", "functional": "PBE-GGA", "state": "relaxed", "cell": [[3.7613, -3.7282, 0.0000], [3.7613, 3.7282, 0.0000], [-0.8085, 0.0000, 3.2220]], "species": ["Cr", "Cr", "Pb", "Br"], "frac_coords": [[0.0000, 0.5000, 0.0000], [0.5000, 0.0000, 0.0000], [0.0000, 0.0000, 0.5000], [0.5000, 0.5000, 0.5000]], "e_above_lowest_polymorph_mev_per_atom": 309, "raw_formation_energy_ev_per_atom": 0.581, "energy_ev_per_atom": -5.576, "total_magnetization_mub_per_atom": 2.064}



{"formula": "CrPb2Br", "functional": "PBE-GGA", "state": "relaxed", "cell": [[2.1410, -2.8126, 0.0000], [2.1410, 2.8126, 0.0000], [0.0000, 0.0000, 9.1453]], "species": ["Cr", "Pb", "Pb", "Br"], "frac_coords": [[0.0000, 0.0000, 0.0000], [0.0000, 0.0000, 0.4928], [0.5000, 0.5000, 0.2217], [0.5000, 0.5000, 0.8270]], "e_above_lowest_polymorph_mev_per_atom": 52, "raw_formation_energy_ev_per_atom": 0.091, "energy_ev_per_atom": -4.587, "total_magnetization_mub_per_atom": 1.070}



{"formula": "Cr2PbBr", "functional": "PBE-GGA", "state": "relaxed", "cell": [[3.4420, 0.0000, 0.0000], [0.0000, 3.7723, 0.0000], [0.0000, 0.0000, 7.3493]], "species": ["Cr", "Cr", "Pb", "Br"], "frac_coords": [[0.0000, 0.0000, 0.2120], [0.0000, 0.0000, 0.7880], [0.5000, 0.5000, 0.0000], [0.5000, 0.0000, 0.5000]], "e_above_lowest_polymorph_mev_per_atom": 113, "raw_formation_energy_ev_per_atom": 0.385, "energy_ev_per_atom": -5.772, "total_magnetization_mub_per_atom": 2.049}



{"formula": "CrPbBr", "functional": "PBE-GGA", "state": "relaxed", "cell": [[4.7136, 0.0000, 0.0000], [-2.3568, 4.0821, 0.0000], [0.0000, 0.0000, 3.8550]], "species": ["Cr", "Pb", "Br"], "frac_coords": [[0.0000, 0.0000, 0.0000], [0.6667, 0.3333, 0.5000], [0.3333, 0.6667, 0.0000]], "e_above_lowest_polymorph_mev_per_atom": 244, "raw_formation_energy_ev_per_atom": 0.337, "energy_ev_per_atom": -4.664, "total_magnetization_mub_per_atom": 1.346}



{"formula": "CrPb2Br", "functional": "PBE-GGA", "state": "relaxed", "cell": [[3.5827, 0.0000, 0.0000], [0.0000, 3.5827, 0.0000], [0.0000, 0.0000, 8.2391]], "species": ["Cr", "Pb", "Pb", "Br"], "frac_coords": [[0.0000, 0.0000, 0.0000], [0.5000, 0.5000, 0.2209], [0.5000, 0.5000, 0.7791], [0.0000, 0.0000, 0.5000]], "e_above_lowest_polymorph_mev_per_atom": 153, "raw_formation_energy_ev_per_atom": 0.192, "energy_ev_per_atom": -4.486, "total_magnetization_mub_per_atom": 0.995}